A plane-wave DFT calculation with GGA-PBE was carried out for crystalline La2FeSiPb at its relaxed geometry.

Cell and atoms, written as POSCAR:
```
La2FeSiPb
1.0
5.308 0.000 0.000
0.000 5.308 0.000
0.000 0.000 4.512
Pb Si Fe La
1 1 1 2
Direct
0.500 0.500 0.500
0.000 0.000 0.500
0.000 0.000 0.000
0.000 0.500 0.000
0.500 0.000 0.000
```

Results
Uncorrected energy (eV/atom): -5.860
SG: No. 123
V (Å³/cell): 127.1
Formation energy without anion corrections (eV/atom): -0.370

***

A plane-wave DFT calculation with GGA-PBE was carried out for crystalline Sr2Hg2Pd at its relaxed geometry.

Cell and atoms, written as POSCAR:
```
Sr2Hg2Pd
1.0
-0.747 -7.455 -3.574
6.354 -2.814 4.541
-2.964 -1.304 3.339
Sr Hg Pd
4 4 2
Direct
0.328 0.828 0.000
0.828 0.672 0.000
0.672 0.172 0.000
0.172 0.328 0.000
0.134 0.634 0.500
0.634 0.866 0.500
0.866 0.366 0.500
0.366 0.134 0.500
0.000 0.000 0.000
0.500 0.500 0.000
```

Results
ΔE to the lowest computed polymorph (eV per atom): 0.313
Uncorrected energy (eV/atom): -2.083
SG: No. 127
V (Å³/cell): 320.5
Formation energy (eV per atom): -0.251

***

A plane-wave DFT calculation with GGA-PBE was carried out for crystalline IrO2F at its relaxed geometry.

Cell and atoms, written as POSCAR:
```
IrO2F
1.0
5.034 0.249 0.143
-0.312 4.746 2.474
-0.153 0.189 5.356
Ir O F
2 4 2
Direct
0.485 0.601 0.514
0.485 0.925 0.838
0.683 0.637 0.802
0.671 0.865 0.187
0.671 0.252 0.575
0.268 0.859 0.581
0.266 0.255 0.840
0.266 0.599 0.185
```

Results
ΔE to the lowest computed polymorph (eV per atom): 0.000
Uncorrected energy (eV/atom): -5.975
SG: No. 8
V (Å³/cell): 126.0
Formation energy without anion corrections (eV/atom): -0.813

***

A plane-wave DFT calculation with GGA-PBE was carried out for crystalline BaZnSn4 at its relaxed geometry.

Cell and atoms, written as POSCAR:
```
BaZnSn4
1.0
4.575 0.000 0.000
0.000 6.944 0.000
-2.287 0.000 11.510
Ba Zn Sn
2 2 8
Direct
0.391 0.750 0.783
0.609 0.250 0.217
0.129 0.750 0.257
0.871 0.250 0.743
0.213 0.472 0.426
0.787 0.528 0.574
0.213 0.028 0.426
0.787 0.972 0.574
0.560 0.750 0.120
0.440 0.250 0.880
0.000 0.500 0.000
0.000 0.000 0.000
```

Results
ΔE to the lowest computed polymorph (eV per atom): 0.000
Uncorrected energy (eV/atom): -3.439
SG: No. 63
V (Å³/cell): 365.6
Formation energy (eV per atom): -0.238

***

A plane-wave DFT calculation with GGA-PBE was carried out for crystalline ZnSiSb at its relaxed geometry.

Cell and atoms, written as POSCAR:
```
ZnSiSb
1.0
-0.320 -1.626 4.837
1.962 -3.055 -3.600
2.542 1.027 0.514
Sb Si Zn
1 1 1
Direct
0.000 0.000 0.334
0.667 0.333 0.335
0.333 0.667 0.331
```

Results
ΔE to the lowest computed polymorph (eV per atom): 0.157
Uncorrected energy (eV/atom): -3.200
SG: No. 156
V (Å³/cell): 63.2
Formation energy without anion corrections (eV/atom): 0.406

***

A plane-wave DFT calculation with GGA-PBE was carried out for crystalline BaZn2Cl at its relaxed geometry.

Cell and atoms, written as POSCAR:
```
BaZn2Cl
1.0
5.693 0.010 0.028
1.064 5.593 -0.028
-3.191 -3.027 3.614
Ba Cl Zn
1 1 2
Direct
0.518 0.518 0.000
0.261 0.761 0.500
0.927 0.927 0.000
0.793 0.293 0.500
```

Results
ΔE to the lowest computed polymorph (eV per atom): 0.151
Uncorrected energy (eV/atom): -2.166
SG: No. 44
V (Å³/cell): 115.0
Formation energy without anion corrections (eV/atom): -0.587

***

A plane-wave DFT calculation with GGA-PBE was carried out for crystalline CaSc2BeMo at its relaxed geometry.

Cell and atoms, written as POSCAR:
```
CaSc2BeMo
1.0
4.960 0.000 0.000
0.000 5.507 0.000
0.000 0.000 4.960
Sc Be Mo Ca
2 1 1 1
Direct
0.000 0.000 0.500
0.500 0.000 0.000
0.500 0.500 0.500
0.000 0.000 0.000
0.000 0.500 0.000
```

Results
Uncorrected energy (eV/atom): -4.875
SG: No. 123
V (Å³/cell): 135.5
Formation energy (eV per atom): 0.969

***

A plane-wave DFT calculation with GGA-PBE was carried out for crystalline Li3CdPd at its relaxed geometry.

Cell and atoms, written as POSCAR:
```
Li3CdPd
1.0
4.736 0.000 0.000
0.000 4.736 0.000
0.000 0.000 4.736
Li Pd Cd
3 1 1
Direct
0.000 0.500 0.000
0.000 0.000 0.500
0.500 0.000 0.000
0.000 0.000 0.000
0.500 0.500 0.500
```

Results
ΔE to the lowest computed polymorph (eV per atom): 0.265
Uncorrected energy (eV/atom): -2.422
SG: No. 221
V (Å³/cell): 106.2
Formation energy (eV per atom): -0.052

***

A plane-wave DFT calculation with GGA-PBE was carried out for crystalline Ti3BAu at its relaxed geometry.

Cell and atoms, written as POSCAR:
```
Ti3BAu
1.0
4.265 0.000 0.000
0.000 4.265 0.000
0.000 0.000 4.265
B Au Ti
1 1 3
Direct
0.000 0.000 0.000
0.500 0.500 0.500
0.000 0.500 0.000
0.000 0.000 0.500
0.500 0.000 0.000
```

Results
ΔE to the lowest computed polymorph (eV per atom): 0.000
Uncorrected energy (eV/atom): -7.081
SG: No. 221
V (Å³/cell): 77.6
Formation energy (eV per atom): -0.353

***

A plane-wave DFT calculation with GGA-PBE was carried out for crystalline Mg2Ag at its relaxed geometry.

Cell and atoms, written as POSCAR:
```
Mg2Ag
1.0
-2.084 1.428 2.272
-2.564 -0.215 -2.219
1.150 -5.256 1.801
Mg Ag
2 1
Direct
0.154 0.154 0.307
0.846 0.846 0.693
0.500 0.500 0.000
```

Results
Uncorrected energy (eV/atom): -2.181
SG: No. 12
V (Å³/cell): 59.2
Formation energy (eV per atom): -0.168

***

A plane-wave DFT calculation with GGA-PBE was carried out for crystalline MnCo at its relaxed geometry.

Cell and atoms, written as POSCAR:
```
MnCo
1.0
6.405 0.000 0.000
0.000 6.871 0.000
0.000 0.000 8.361
Mn Co
16 16
Direct
0.342 0.000 0.000
0.658 0.000 0.000
0.908 0.750 0.250
0.592 0.750 0.250
0.342 0.500 0.500
0.658 0.500 0.500
0.908 0.250 0.750
0.592 0.250 0.750
0.842 0.000 0.500
0.158 0.000 0.500
0.408 0.750 0.750
0.092 0.750 0.750
0.842 0.500 0.000
0.158 0.500 0.000
0.408 0.250 0.250
0.092 0.250 0.250
0.000 0.835 0.000
0.000 0.165 0.000
0.250 0.915 0.250
0.250 0.585 0.250
0.000 0.335 0.500
0.000 0.665 0.500
0.250 0.415 0.750
0.250 0.085 0.750
0.500 0.835 0.500
0.500 0.165 0.500
0.750 0.915 0.750
0.750 0.585 0.750
0.500 0.335 0.000
0.500 0.665 0.000
0.750 0.415 0.250
0.750 0.085 0.250
```

Results
Uncorrected energy (eV/atom): -7.544
SG: No. 70
V (Å³/cell): 368.0
Formation energy (eV per atom): 0.593

***

A plane-wave DFT calculation with GGA-PBE was carried out for crystalline Ho5As4O at its relaxed geometry.

Cell and atoms, written as POSCAR:
```
Ho5As4O
1.0
-4.308 -2.107 -3.186
-3.048 -5.615 2.633
-6.225 2.603 1.492
Ho As O
5 4 1
Direct
0.905 0.385 0.811
0.289 0.811 0.615
0.716 0.189 0.385
0.100 0.615 0.189
0.434 0.000 0.000
0.408 0.395 0.794
0.803 0.794 0.605
0.202 0.206 0.395
0.597 0.605 0.206
0.057 0.000 0.000
```

Results
Uncorrected energy (eV/atom): -6.359
SG: No. 79
V (Å³/cell): 227.2
Formation energy without anion corrections (eV/atom): -1.715

***

A plane-wave DFT calculation with GGA-PBE was carried out for crystalline CeGePb2 at its relaxed geometry.

Cell and atoms, written as POSCAR:
```
CeGePb2
1.0
-1.122 -1.656 4.506
2.961 -3.503 -0.550
3.386 2.581 1.791
Pb Ge Ce
2 1 1
Direct
0.000 0.000 0.500
0.000 0.500 0.000
0.500 0.000 0.000
0.500 0.500 0.500
```

Results
ΔE to the lowest computed polymorph (eV per atom): 0.000
Uncorrected energy (eV/atom): -4.835
SG: No. 123
V (Å³/cell): 105.2
Formation energy (eV per atom): -0.343

***

A plane-wave DFT calculation with GGA-PBE was carried out for crystalline Ba2Hf2Nb at its relaxed geometry.

Cell and atoms, written as POSCAR:
```
Ba2Hf2Nb
1.0
-4.080 -0.279 1.129
0.733 -3.813 1.710
0.105 1.581 8.744
Nb Hf Ba
1 2 2
Direct
0.000 0.000 0.000
0.422 0.422 0.155
0.578 0.578 0.845
0.750 0.250 0.500
0.250 0.750 0.500
```

Results
ΔE to the lowest computed polymorph (eV per atom): 0.487
Uncorrected energy (eV/atom): -5.450
SG: No. 139
V (Å³/cell): 150.6
Formation energy (eV per atom): 1.314

***

A plane-wave DFT calculation with GGA-PBE was carried out for crystalline U2As4Rh at its relaxed geometry.

Cell and atoms, written as POSCAR:
```
U2As4Rh
1.0
-1.243 -2.591 2.833
2.262 -2.901 -1.660
6.738 2.338 5.096
U As Rh
2 4 1
Direct
0.500 0.000 0.758
0.000 0.500 0.242
0.500 0.000 0.167
0.000 0.500 0.833
0.500 0.500 0.500
0.000 0.000 0.500
0.500 0.500 0.000
```

Results
Uncorrected energy (eV/atom): -7.546
SG: No. 115
V (Å³/cell): 142.8
Formation energy (eV per atom): -0.613

***

A plane-wave DFT calculation with GGA-PBE was carried out for crystalline Li3Zn2Cu at its relaxed geometry.

Cell and atoms, written as POSCAR:
```
Li3Zn2Cu
1.0
3.976 0.000 -1.229
-0.215 6.463 -0.695
0.024 0.052 7.124
Li Zn Cu
6 4 2
Direct
0.705 0.926 0.411
0.063 0.846 0.125
0.401 0.439 0.803
0.599 0.561 0.197
0.937 0.154 0.875
0.295 0.074 0.589
0.439 0.844 0.879
0.561 0.156 0.121
0.243 0.644 0.486
0.757 0.356 0.514
0.147 0.288 0.293
0.853 0.712 0.707
```

Results
ΔE to the lowest computed polymorph (eV per atom): 0.000
Uncorrected energy (eV/atom): -2.166
SG: No. 12
V (Å³/cell): 183.4
Formation energy (eV per atom): -0.102

***

A plane-wave DFT calculation with GGA-PBE was carried out for crystalline Pa6Ir5Rh at its relaxed geometry.

Cell and atoms, written as POSCAR:
```
Pa6Ir5Rh
1.0
4.414 0.382 0.266
-2.678 7.222 -2.921
1.788 -0.448 7.930
Pa Rh Ir
6 1 5
Direct
0.388 0.030 0.254
0.921 0.616 0.774
0.246 0.216 0.725
0.754 0.784 0.275
0.079 0.384 0.226
0.612 0.970 0.746
0.000 0.000 0.000
0.860 0.225 0.505
0.698 0.373 0.977
0.500 0.500 0.500
0.302 0.627 0.023
0.140 0.775 0.495
```

Results
Uncorrected energy (eV/atom): -9.734
SG: No. 12
V (Å³/cell): 250.0
Formation energy (eV per atom): -0.682